! LaTa3Ge, optimized geometry, DFT PBE-GGA; values from VASP
! Electronic total energy = -6.710 eV per atom
! Size of the total moment = 0.00 μB per atom
! Energy relative to the elements = 2.31 eV/atom
&SYSTEM
  ibrav = 0, nat = 5, ntyp = 3
/
ATOMIC_SPECIES
Ge 72.64 Ge.upf
La 138.91 La.upf
Ta 180.95 Ta.upf
ATOMIC_POSITIONS angstrom
Ge -2.873 -2.604 -1.852
La 0.000 0.000 0.000
Ta -0.002 -2.476 0.161
Ta -2.444 0.030 0.426
Ta -0.427 -0.158 -2.439
CELL_PARAMETERS angstrom
-0.854 -0.316 -4.878
-0.004 -4.952 0.322
-4.888 0.059 0.852

! LaTaTcGe2, optimized geometry, DFT PBE-GGA; values from VASP
! Electronic total energy = -4.847 eV per atom
! Size of the total moment = 0.00 μB per atom
! Energy relative to the elements = 2.43 eV/atom
&SYSTEM
  ibrav = 0, nat = 5, ntyp = 4
/
ATOMIC_SPECIES
Ge 72.64 Ge.upf
La 138.91 La.upf
Tc 98.00 Tc.upf
Ta 180.95 Ta.upf
ATOMIC_POSITIONS angstrom
Ge 1.326 2.238 -0.080
Ge -1.063 0.711 2.266
La 0.000 0.000 0.000
Tc 2.182 1.855 3.430
Ta 1.920 -1.093 1.244
CELL_PARAMETERS angstrom
-2.126 1.422 4.532
3.839 -2.186 2.487
2.652 4.475 -0.160

! LaTaGeTe2, optimized geometry, DFT PBE-GGA; values from VASP
! Electronic total energy = -4.338 eV per atom
! Formation energy from raw total energies = 1.20 eV per atom
! Size of the total moment = 0.56 μB per atom
&SYSTEM
  ibrav = 0, nat = 5, ntyp = 4
/
ATOMIC_SPECIES
Ge 72.64 Ge.upf
La 138.91 La.upf
Te 127.60 Te.upf
Ta 180.95 Ta.upf
ATOMIC_POSITIONS angstrom
Ge 0.718 -2.523 0.828
La 0.000 0.000 0.000
Te 2.821 0.924 0.367
Te -0.614 0.753 2.829
Ta 2.925 -0.846 4.023
CELL_PARAMETERS angstrom
-1.229 1.506 5.657
1.437 -5.046 1.656
5.642 1.847 0.733

! LaTaTiGe2, optimized geometry, DFT PBE-GGA; values from VASP
! Electronic total energy = -7.372 eV per atom
! Size of the total moment = 0.00 μB per atom
! Energy relative to the elements = -0.59 eV/atom
&SYSTEM
  ibrav = 0, nat = 5, ntyp = 4
/
ATOMIC_SPECIES
La 138.91 La.upf
Ta 180.95 Ta.upf
Ti 47.87 Ti.upf
Ge 72.64 Ge.upf
ATOMIC_POSITIONS angstrom
La 0.000 0.000 0.000
Ta -0.695 -2.068 2.964
Ti -0.950 -3.527 0.445
Ge -2.587 -1.527 1.147
Ge 0.941 -4.069 2.262
CELL_PARAMETERS angstrom
-2.597 1.082 3.027
-3.108 -1.837 -2.010
4.060 -4.841 2.393

! LaTaVGe2, optimized geometry, DFT PBE-GGA; values from VASP
! Electronic total energy = -7.530 eV per atom
! Size of the total moment = 0.00 μB per atom
! Energy relative to the elements = -0.50 eV/atom
&SYSTEM
  ibrav = 0, nat = 5, ntyp = 4
/
ATOMIC_SPECIES
La 138.91 La.upf
Ta 180.95 Ta.upf
V 50.94 V.upf
Ge 72.64 Ge.upf
ATOMIC_POSITIONS angstrom
La 0.000 0.000 0.000
Ta -2.952 2.120 -0.285
V -1.128 2.425 -2.478
Ge -2.444 0.190 -2.007
Ge -1.635 4.355 -0.756
CELL_PARAMETERS angstrom
-0.154 -0.749 -3.984
-3.801 -1.358 0.402
-0.125 6.652 0.819

! LaTbGe2, optimized geometry, DFT PBE-GGA; values from VASP
! Electronic total energy = -5.529 eV per atom
! Size of the total moment = 0.00 μB per atom
! Energy relative to the elements = -0.83 eV/atom
&SYSTEM
  ibrav = 0, nat = 4, ntyp = 3
/
ATOMIC_SPECIES
La 138.91 La.upf
Tb 158.93 Tb.upf
Ge 72.64 Ge.upf
ATOMIC_POSITIONS angstrom
La 2.051 -2.353 -1.011
Tb 3.168 -3.997 2.066
Ge 4.966 -1.993 0.577
Ge 2.739 -0.801 1.580
CELL_PARAMETERS angstrom
-2.414 -3.616 -1.058
1.967 -0.275 -3.549
5.028 -1.439 2.899

! LaTb2Ge2, optimized geometry, DFT PBE-GGA; values from VASP
! Electronic total energy = -5.359 eV per atom
! Size of the total moment = 0.00 μB per atom
! Energy relative to the elements = -0.67 eV/atom
&SYSTEM
  ibrav = 0, nat = 10, ntyp = 3
/
ATOMIC_SPECIES
La 138.91 La.upf
Tb 158.93 Tb.upf
Ge 72.64 Ge.upf
ATOMIC_POSITIONS angstrom
La 1.276 2.926 2.422
La 3.827 2.604 6.829
Tb 1.276 4.457 8.435
Tb 3.827 1.074 0.816
Tb 1.276 0.759 5.218
Tb 3.827 4.772 4.033
Ge 1.276 4.013 5.453
Ge 3.827 1.517 3.798
Ge 1.276 1.200 8.204
Ge 3.827 4.330 1.048
CELL_PARAMETERS angstrom
5.102 0.000 0.000
0.000 6.165 0.442
0.000 -0.635 8.810

! LaTbGe, optimized geometry, DFT PBE-GGA; values from VASP
! Electronic total energy = -5.263 eV per atom
! Size of the total moment = 0.00 μB per atom
! Energy relative to the elements = -0.54 eV/atom
&SYSTEM
  ibrav = 0, nat = 3, ntyp = 3
/
ATOMIC_SPECIES
Ge 72.64 Ge.upf
Tb 158.93 Tb.upf
La 138.91 La.upf
ATOMIC_POSITIONS angstrom
Ge 2.522 1.456 1.030
Tb 0.000 0.000 0.000
La 5.044 2.912 2.059
CELL_PARAMETERS angstrom
5.044 0.000 0.000
2.522 4.368 0.000
2.522 1.456 4.118

! La3Tb3Ge4, optimized geometry, DFT PBE-GGA; values from VASP
! Electronic total energy = -5.492 eV per atom
! Size of the total moment = 0.00 μB per atom
! Energy relative to the elements = -0.78 eV/atom
&SYSTEM
  ibrav = 0, nat = 10, ntyp = 3
/
ATOMIC_SPECIES
La 138.91 La.upf
Tb 158.93 Tb.upf
Ge 72.64 Ge.upf
ATOMIC_POSITIONS angstrom
La 2.231 6.443 1.340
La 2.231 2.528 2.532
La 2.231 5.285 5.265
Tb 0.000 3.945 7.768
Tb 0.000 0.037 3.894
Tb 2.231 1.406 6.422
Ge 0.000 4.842 2.955
Ge 0.000 2.924 4.890
Ge 0.000 6.948 6.799
Ge 0.000 0.980 0.883
CELL_PARAMETERS angstrom
4.461 0.000 0.000
0.000 7.779 -0.008
0.000 0.060 7.779

! LaTbGe2, optimized geometry, DFT PBE-GGA; values from VASP
! Electronic total energy = -5.365 eV per atom
! Size of the total moment = 0.00 μB per atom
! Energy relative to the elements = -0.67 eV/atom
&SYSTEM
  ibrav = 0, nat = 4, ntyp = 3
/
ATOMIC_SPECIES
Ge 72.64 Ge.upf
Tb 158.93 Tb.upf
La 138.91 La.upf
ATOMIC_POSITIONS angstrom
Ge -0.703 6.047 0.336
Ge -0.248 2.131 0.118
Tb -2.461 3.935 -1.163
La -1.986 -0.154 -1.390
CELL_PARAMETERS angstrom
-0.616 0.116 -3.377
-3.356 -0.423 0.597
-0.950 8.178 0.455

! LaTbGe, optimized geometry, DFT PBE-GGA; values from VASP
! Electronic total energy = -5.108 eV per atom
! Size of the total moment = 0.00 μB per atom
! Energy relative to the elements = -0.38 eV/atom
&SYSTEM
  ibrav = 0, nat = 12, ntyp = 3
/
ATOMIC_SPECIES
Ge 72.64 Ge.upf
Tb 158.93 Tb.upf
La 138.91 La.upf
ATOMIC_POSITIONS angstrom
Ge 3.405 3.405 0.000
Ge 3.721 3.721 4.091
Ge 0.158 6.967 2.045
Ge 6.967 0.158 6.136
Tb 4.976 2.150 6.136
Tb 5.712 5.712 4.091
Tb 1.413 1.413 0.000
Tb 2.150 4.976 2.045
La 5.128 1.998 2.045
La 5.560 5.560 0.000
La 1.565 1.565 4.091
La 1.998 5.128 6.136
CELL_PARAMETERS angstrom
7.125 0.000 0.000
0.000 7.125 0.000
0.000 0.000 8.181

! LaTbGe2, optimized geometry, DFT PBE-GGA; values from VASP
! Electronic total energy = -5.382 eV per atom
! Size of the total moment = 0.00 μB per atom
! Energy relative to the elements = -0.68 eV/atom
&SYSTEM
  ibrav = 0, nat = 4, ntyp = 3
/
ATOMIC_SPECIES
Ge 72.64 Ge.upf
Tb 158.93 Tb.upf
La 138.91 La.upf
ATOMIC_POSITIONS angstrom
Ge -7.612 -1.274 4.836
Ge -2.536 -0.599 1.753
Tb -5.074 -0.937 3.295
La 0.000 0.000 0.000
CELL_PARAMETERS angstrom
-2.966 2.301 2.879
-4.674 -0.482 -0.544
-2.507 -3.692 4.254